1.
DFT (GGA-PBE) results for Li5GaPd4 after structural relaxation.

It has space group C2/m (No. 12), with a = 12.702 Å, b = 4.286 Å, c = 5.281 Å, α = 90.00°, β = 105.26° and γ = 90.00°. Symmetry generates all atoms from Li at (0.000, 0.000, 0.000), Li at (0.105, 0.500, 0.897), Li at (0.205, 0.000, 0.302), Ga at (0.000, 0.000, 0.500), Pd at (0.097, 0.500, 0.398) and Pd at (0.199, 0.000, 0.794).

The total moment comes out at 0.00 μB per atom. Its formation energy is -0.4965 eV per atom. The value obtained for the uncorrected energy is -3.83 eV/atom.

=====

2.
DFT (GGA-PBE) results for CrInMo after structural relaxation.

It has space group I4mm (No. 107), with a = 3.176 Å, b = 3.176 Å, c = 9.657 Å, α = 90.00°, β = 90.00° and γ = 90.00°. Symmetry generates all atoms from Cr at (0.000, 0.000, 0.000), In at (0.000, 0.000, 0.683) and Mo at (0.000, 0.000, 0.378).

The total moment comes out at 0.00 μB per atom. Its formation energy is 0.2466 eV per atom. The value obtained for the uncorrected energy is -7.48 eV/atom. Its energy above the lowest structure with this stoichiometry is 0 meV/atom.

=====

3.
DFT (GGA-PBE) results for TbFeNi4 after structural relaxation.

It has space group P-6m2 (No. 187), with a = 4.9524 Å, b = 4.9524 Å, c = 3.9323 Å, α = 90.00°, β = 90.00° and γ = 120.00°. Symmetry generates all atoms from Tb at (0.0000, 0.0000, 0.0000), Fe at (0.3333, 0.6667, 0.0000), Ni at (0.5004, 0.0009, 0.5000) and Ni at (0.6667, 0.3333, 0.0000).

The total moment comes out at 0.67 μB per atom. Its formation energy is -0.2492 eV per atom. The value obtained for the uncorrected energy is -6.29 eV/atom.

=====

4.
DFT (GGA-PBE) results for ZrRu2W after structural relaxation.

It has space group F-43m (No. 216), with a = 6.388 Å, b = 6.388 Å, c = 6.388 Å, α = 90.00°, β = 90.00° and γ = 90.00°. Symmetry generates all atoms from Zr at (0.000, 0.000, 0.000), Ru at (0.000, 0.000, 0.500), Ru at (0.250, 0.250, 0.250) and W at (0.250, 0.250, 0.750).

The total moment comes out at 0.42 μB per atom. Its formation energy is 0.1353 eV per atom. The value obtained for the uncorrected energy is -9.88 eV/atom.

=====

5.
DFT (GGA-PBE) results for LaTbAgGe after structural relaxation.

It has space group F-43m (No. 216), with a = 7.401 Å, b = 7.401 Å, c = 7.401 Å, α = 90.00°, β = 90.00° and γ = 90.00°. Symmetry generates all atoms from La at (0.000, 0.000, 0.000), Tb at (0.000, 0.000, 0.500), Ag at (0.250, 0.250, 0.250) and Ge at (0.250, 0.250, 0.750).

The total moment comes out at 0.00 μB per atom. Its formation energy is -0.5192 eV per atom. The value obtained for the uncorrected energy is -4.78 eV/atom.

=====

6.
DFT (GGA-PBE) results for LiZn3Cu8 after structural relaxation.

It has space group I-42m (No. 121), with a = 6.345 Å, b = 6.345 Å, c = 8.958 Å, α = 90.00°, β = 90.00° and γ = 90.00°. Symmetry generates all atoms from Li at (0.000, 0.000, 0.000), Zn at (0.000, 0.000, 0.500), Zn at (0.000, 0.500, 0.250), Cu at (0.138, 0.138, 0.789) and Cu at (0.233, 0.233, 0.060).

The total moment comes out at 0.00 μB per atom. Its formation energy is 0.3772 eV per atom. The value obtained for the uncorrected energy is -2.83 eV/atom.